# CuOsRh2

A crystal of CuOsRh2 relaxed with PBEsol (meta-GGA SCAN, Alexandria).

Geometry as extended XYZ:
```
4
Lattice="2.6755 0.0000 0.0000 1.3378 2.3171 0.0000 1.3378 0.7724 8.5386" Properties=species:S:1:pos:R:3 pbc="T T T"
Rh 4.0133 2.3171 6.3833
Rh 1.3378 0.7724 2.1552
Cu 2.6755 1.5447 4.2693
Os 0.0000 0.0000 0.0000
```

Summary:
Space group ... R-3m, No. 166
Calculated density ... 14.42 g cm⁻³
Formation energy from the elements ... 0.25 eV/f.u.